Record 1
A plane-wave DFT calculation with PBE was carried out for a relaxed structure of Nb2GaFe5Re2.

Values from the calculation:
The calculation puts the formation energy at 0.23 eV per atom. The space group is No. 127.

Cell: 8.7400 8.7400 3.8068 Å, 90.00 90.00 90.00°
Last column: nearest neighbours and their distance in Å.
Fractional coordinates of all 20 atoms:
Nb (0.1735, 0.3265, 0.0000)  3 Re 2.48-2.65
Nb (0.3265, 0.8265, 0.0000)  3 Re 2.48-2.65
Nb (0.6735, 0.1735, 0.0000)  3 Re 2.48-2.65
Nb (0.8265, 0.6735, 0.0000)  3 Re 2.48-2.65
Ga (0.0000, 0.0000, 0.0000)  8 Fe 2.62
Ga (0.5000, 0.5000, 0.0000)  8 Fe 2.62
Fe (0.0000, 0.5000, 0.5000)  4 Re 2.46, 4 Fe 2.69
Fe (0.0567, 0.8021, 0.5000)  2 Re 2.52, 3 Fe 2.54-2.69, 2 Ga 2.62
Fe (0.1979, 0.0567, 0.5000)  2 Re 2.52, 3 Fe 2.54-2.69, 2 Ga 2.62
Fe (0.3021, 0.5567, 0.5000)  2 Re 2.52, 3 Fe 2.54-2.69, 2 Ga 2.62
Fe (0.4433, 0.3021, 0.5000)  2 Re 2.52, 3 Fe 2.54-2.69, 2 Ga 2.62
Fe (0.5000, 0.0000, 0.5000)  4 Re 2.46, 4 Fe 2.69
Fe (0.5567, 0.6979, 0.5000)  2 Re 2.52, 3 Fe 2.54-2.69, 2 Ga 2.62
Fe (0.6979, 0.4433, 0.5000)  2 Re 2.52, 3 Fe 2.54-2.69, 2 Ga 2.62
Fe (0.8021, 0.9433, 0.5000)  2 Re 2.52, 3 Fe 2.54-2.69, 2 Ga 2.62
Fe (0.9433, 0.1979, 0.5000)  2 Re 2.52, 3 Fe 2.54-2.69, 2 Ga 2.62
Re (0.1256, 0.6256, 0.0000)  6 Fe 2.46-2.52, 3 Nb 2.48-2.65
Re (0.3744, 0.1256, 0.0000)  6 Fe 2.46-2.52, 3 Nb 2.48-2.65
Re (0.6256, 0.8744, 0.0000)  6 Fe 2.46-2.52, 3 Nb 2.48-2.65
Re (0.8744, 0.3744, 0.0000)  6 Fe 2.46-2.52, 3 Nb 2.48-2.65


Record 2
A plane-wave DFT calculation with PBE was carried out for a relaxed structure of TaPb3.

Values from the calculation:
The calculation puts the formation energy at 0.63 eV per atom. The space group is No. 25.

Cell: 3.2156 5.5306 5.8790 Å, 90.00 90.00 90.00°
Last column: nearest neighbours and their distance in Å.
Fractional coordinates of all 4 atoms:
Ta (0.0000, 0.0000, 0.0000)  2 Ta 3.22, 10 Pb 3.22-3.44
Pb (0.0000, 0.5000, 0.7182)  10 Pb 3.22-3.48, 2 Ta 3.22
Pb (0.5000, 0.0000, 0.5172)  8 Pb 3.22-3.41, 4 Ta 3.26-3.44
Pb (0.5000, 0.5000, 0.1922)  8 Pb 3.22-3.48, 4 Ta 3.39


Record 3
A plane-wave DFT calculation with PBE was carried out for a relaxed structure of Nb4I.

Values from the calculation:
For the formation energy (no corrections), the calculation gives 1.780 eV/atom. The space group is No. 221.

Cell: 4.9454 4.9454 4.9454 Å, 90.00 90.00 90.00°
Last column: nearest neighbours and their distance in Å.
Fractional coordinates of all 5 atoms:
Nb (0.0000, 0.0000, 0.0000)  12 Nb 3.50
Nb (0.0000, 0.5000, 0.5000)  2 I 2.47
Nb (0.5000, 0.0000, 0.5000)  2 I 2.47
Nb (0.5000, 0.5000, 0.0000)  2 I 2.47
I (0.5000, 0.5000, 0.5000)  6 Nb 2.47


Record 4
A plane-wave DFT calculation with PBE was carried out for a relaxed structure of Ca4CdCl.

Values from the calculation:
For the formation energy (no corrections), the calculation gives 0.046 eV/atom. The space group is No. 216.

Cell: 6.9511 6.9511 6.9511 Å, 60.00 60.00 60.00°
Last column: nearest neighbours and their distance in Å.
Fractional coordinates of all 6 atoms:
Ca (0.1240, 0.1240, 0.1240)  6 Ca 3.45-3.50
Ca (0.1240, 0.1240, 0.6281)  6 Ca 3.45-3.50
Ca (0.1240, 0.6281, 0.1240)  6 Ca 3.45-3.50
Ca (0.6281, 0.1240, 0.1240)  6 Ca 3.45-3.50
Cd (0.7500, 0.7500, 0.7500)  12 Ca 4.07, 4 Cl 4.26
Cl (0.5000, 0.5000, 0.5000)  12 Ca 4.08, 4 Cd 4.26


Record 5
A plane-wave DFT calculation with PBE was carried out for a relaxed structure of InHIrPd2.

Values from the calculation:
Its energy is -5.252 eV per atom. The space group is No. 123.

Cell: 4.0891 4.0891 4.0146 Å, 90.00 90.00 90.00°
Last column: nearest neighbours and their distance in Å.
Fractional coordinates of all 5 atoms:
In (0.0000, 0.0000, 0.0000)  8 Pd 2.87, 4 Ir 2.89
H (0.5000, 0.5000, 0.5000)  2 Ir 2.01, 4 Pd 2.04
Ir (0.5000, 0.5000, 0.0000)  2 H 2.01
Pd (0.0000, 0.5000, 0.5000)  2 H 2.04
Pd (0.5000, 0.0000, 0.5000)  2 H 2.04


Record 6
A plane-wave DFT calculation with PBE was carried out for a relaxed structure of In2SbMo.

Values from the calculation:
For the formation energy (no corrections), the calculation gives 0.614 eV/atom. The space group is No. 216.

Cell: 5.0623 5.0623 5.0623 Å, 60.00 60.00 60.00°
Last column: nearest neighbours and their distance in Å.
Fractional coordinates of all 4 atoms:
In (0.0000, 0.0000, 0.0000)  4 In 3.10, 4 Sb 3.10
In (0.2500, 0.2500, 0.2500)  4 In 3.10, 4 Mo 3.10
Sb (0.7500, 0.7500, 0.7500)  4 In 3.10, 4 Mo 3.10
Mo (0.5000, 0.5000, 0.5000)  4 In 3.10, 4 Sb 3.10


no.,mass density (g cm⁻³),D(E_F) (states/eV/cell)
1,10.36,21.0
2,12.75,3.0
3,6.84,6.8
4,2.15,8.0
5,12.89,3.3
6,8.10,3.3